No. 1
Computed, not measured: an optimized crystal structure of CuTeMo2 at the PBE level of DFT.

a = 2.939 Å, b = 2.939 Å, c = 9.044 Å
α = 90.00°, β = 90.00°, γ = 111.16°
Element x y z (fractional)
Cu (0.500, 0.500, 0.782)
Mo (0.500, 0.500, 0.219)
Mo (0.000, 0.000, 0.005)
Te (0.000, 0.000, 0.495)

Summary:
Uncorrected formation energy = 500 meV per atom



No. 2
Computed, not measured: an optimized crystal structure of MnCoSb at the PBE level of DFT.

a = 5.158 Å, b = 5.158 Å, c = 4.227 Å
α = 90.00°, β = 90.00°, γ = 62.20°
Last column: magnetic moment on the atom in μB.
Element x y z (fractional)
Sb (0.750, 0.250, 0.792)  -0.06
Sb (0.250, 0.750, 0.208)  -0.06
Mn (0.250, 0.250, 0.000)  2.59
Mn (0.750, 0.750, 0.000)  2.59
Co (0.500, 0.000, 0.500)  1.26
Co (0.000, 0.500, 0.500)  1.22

Summary:
Uncorrected formation energy = 271 meV per atom



No. 3
Computed, not measured: an optimized crystal structure of TcAu at the PBE level of DFT.

a = 2.768 Å, b = 6.443 Å, c = 3.915 Å
α = 90.00°, β = 90.00°, γ = 77.59°
Element x y z (fractional)
Au (0.423, 0.154, 0.750)
Au (0.577, 0.846, 0.250)
Tc (0.206, 0.588, 0.750)
Tc (0.794, 0.412, 0.250)

Summary:
Polymorph energy (0 for the lowest one) = 260 meV per atom
Calculated formation energy = 0.7 eV/f.u.



No. 4
Computed, not measured: an optimized crystal structure of NbZnHgC2 at the PBE level of DFT.

a = 4.017 Å, b = 4.952 Å, c = 4.017 Å
α = 90.00°, β = 90.00°, γ = 90.00°
Element x y z (fractional)
Hg (0.000, 0.500, 0.000)
Nb (0.500, 0.500, 0.500)
C (0.000, 0.000, 0.500)
C (0.500, 0.000, 0.000)
Zn (0.000, 0.000, 0.000)

Summary:
Calculated formation energy = 11.3 eV/f.u.



No. 5
Computed, not measured: an optimized crystal structure of KSi at the PBE level of DFT.

a = 3.901 Å, b = 6.739 Å, c = 9.789 Å
α = 90.00°, β = 90.00°, γ = 90.00°
Element x y z (fractional)
Si (0.250, 0.908, 0.478)
Si (0.250, 0.592, 0.978)
Si (0.750, 0.092, 0.522)
Si (0.750, 0.408, 0.022)
K (0.250, 0.405, 0.324)
K (0.250, 0.095, 0.824)
K (0.750, 0.595, 0.676)
K (0.750, 0.905, 0.176)

Summary:
Polymorph energy (0 for the lowest one) = 114 meV per atom
Uncorrected formation energy = 41 meV per atom



No. 6
Computed, not measured: an optimized crystal structure of Y2MgTa at the PBE level of DFT.

a = 6.451 Å, b = 6.451 Å, c = 6.451 Å
α = 149.81°, β = 130.76°, γ = 58.85°
Element x y z (fractional)
Ta (0.267, 0.767, 0.500)
Mg (0.480, 0.480, 0.000)
Y (0.731, 0.231, 0.500)
Y (0.022, 0.022, 0.000)

Summary:
Calculated formation energy = 1.2 eV/f.u.



No. 7
Computed, not measured: an optimized crystal structure of Pm6Nd3Dy2Sc at the PBE level of DFT.

a = 6.265 Å, b = 6.265 Å, c = 11.926 Å
α = 95.02°, β = 95.02°, γ = 120.01°
Element x y z (fractional)
Sc (0.000, 0.000, 0.000)
Nd (0.500, 0.500, 0.500)
Nd (0.167, 0.833, 0.500)
Nd (0.833, 0.167, 0.500)
Pm (0.919, 0.589, 0.757)
Pm (0.589, 0.919, 0.757)
Pm (0.081, 0.411, 0.243)
Pm (0.411, 0.081, 0.243)
Pm (0.751, 0.751, 0.244)
Pm (0.249, 0.249, 0.756)
Dy (0.667, 0.333, 0.000)
Dy (0.333, 0.667, 0.000)

Summary:
Calculated formation energy = 0.3 eV/f.u.



No. 8
Computed, not measured: an optimized crystal structure of Th2Ga12Ge at the PBE level of DFT.

a = 5.958 Å, b = 5.958 Å, c = 17.304 Å
α = 90.00°, β = 90.00°, γ = 90.00°
Element x y z (fractional)
Ga (0.177, 0.677, 0.565)
Ga (0.500, 0.500, 0.350)
Ga (0.677, 0.823, 0.565)
Ga (0.749, 0.751, 0.110)
Ga (0.749, 0.249, 0.890)
Ga (0.249, 0.251, 0.890)
Ga (0.500, 0.500, 0.794)
Ga (0.823, 0.677, 0.435)
Ga (0.500, 0.500, 0.206)
Ga (0.000, 0.000, 0.650)
Ga (0.323, 0.823, 0.435)
Ga (0.751, 0.749, 0.890)
Ga (0.751, 0.251, 0.110)
Ga (0.251, 0.249, 0.110)
Ga (0.823, 0.323, 0.565)
Ga (0.000, 0.000, 0.206)
Ga (0.177, 0.323, 0.435)
Ga (0.000, 0.000, 0.350)
Ga (0.323, 0.177, 0.565)
Ga (0.500, 0.500, 0.650)
Ga (0.000, 0.000, 0.794)
Ga (0.677, 0.177, 0.435)
Ga (0.251, 0.751, 0.890)
Ga (0.249, 0.749, 0.110)
Th (0.500, 0.000, 0.726)
Th (0.000, 0.500, 0.274)
Th (0.000, 0.500, 0.726)
Th (0.500, 0.000, 0.274)
Ge (0.000, 0.500, 0.000)
Ge (0.500, 0.000, 0.000)

Summary:
Calculated formation energy = -3.3 eV/f.u.



No. 9
Computed, not measured: an optimized crystal structure of HfNiCl2 at the PBE level of DFT.

a = 4.455 Å, b = 4.455 Å, c = 4.455 Å
α = 60.00°, β = 60.00°, γ = 60.00°
Element x y z (fractional)
Cl (0.250, 0.250, 0.250)
Cl (0.750, 0.750, 0.750)
Hf (0.500, 0.500, 0.500)
Ni (0.000, 0.000, 0.000)

Summary:
Polymorph energy (0 for the lowest one) = 0 meV per atom
Uncorrected formation energy = -78 meV per atom



No. 10
Computed, not measured: an optimized crystal structure of CePaTi2O8 at the PBE level of DFT.

a = 5.212 Å, b = 5.212 Å, c = 6.719 Å
α = 112.82°, β = 112.82°, γ = 90.00°
Last column: magnetic moment on the atom in μB.
Element x y z (fractional)
Ti (0.250, 0.750, 0.500)  0.07
Ti (0.500, 0.500, 0.000)  0.04
O (0.995, 0.411, 0.340)  -0.01
O (0.156, 0.573, 0.824)  -0.01
O (0.589, 0.654, 0.660)  -0.01
O (0.748, 0.844, 0.176)  -0.01
O (0.071, 0.005, 0.660)  -0.01
O (0.668, 0.252, 0.824)  -0.01
O (0.346, 0.929, 0.340)  -0.01
O (0.427, 0.332, 0.176)  -0.01
Ce (0.000, 0.000, 0.000)  0.71
Pa (0.750, 0.250, 0.500)  0.32

Summary:
Uncorrected formation energy = -3295 meV per atom



No. 11
Computed, not measured: an optimized crystal structure of Y3BiC at the PBE level of DFT.

a = 11.093 Å, b = 6.671 Å, c = 3.726 Å
α = 106.20°, β = 80.27°, γ = 105.07°
Element x y z (fractional)
Y (0.977, 0.239, 0.339)
Y (0.445, 0.686, 0.332)
Y (0.901, 0.710, 0.114)
Y (0.638, 0.440, 0.611)
Y (0.714, 0.968, 0.837)
Y (0.171, 0.993, 0.619)
C (0.946, 0.972, 0.722)
C (0.669, 0.706, 0.228)
Bi (0.434, 0.119, 0.053)
Bi (0.181, 0.560, 0.898)

Summary:
Polymorph energy (0 for the lowest one) = 82 meV per atom
Calculated formation energy = -2.5 eV/f.u.



No. 12
Computed, not measured: an optimized crystal structure of HoScTeO6 at the PBE level of DFT.

a = 5.450 Å, b = 5.450 Å, c = 8.966 Å
α = 90.00°, β = 90.00°, γ = 120.00°
Element x y z (fractional)
O (0.683, 0.042, 0.371)
O (0.640, 0.958, 0.871)
O (0.360, 0.042, 0.129)
O (0.317, 0.360, 0.871)
O (0.042, 0.360, 0.629)
O (0.683, 0.640, 0.129)
O (0.317, 0.958, 0.629)
O (0.360, 0.317, 0.371)
O (0.042, 0.683, 0.871)
O (0.640, 0.683, 0.629)
O (0.958, 0.640, 0.371)
O (0.958, 0.317, 0.129)
Te (0.667, 0.333, 0.250)
Te (0.333, 0.667, 0.750)
Sc (0.000, 0.000, 0.000)
Sc (0.000, 0.000, 0.500)
Ho (0.667, 0.333, 0.750)
Ho (0.333, 0.667, 0.250)

Summary:
Uncorrected formation energy = -2365 meV per atom



No. 13
Computed, not measured: an optimized crystal structure of LiBeW2 at the PBE level of DFT.

a = 5.058 Å, b = 5.058 Å, c = 4.364 Å
α = 64.45°, β = 64.45°, γ = 31.46°
Element x y z (fractional)
W (0.986, 0.986, 0.013)
W (0.781, 0.781, 0.719)
Be (0.516, 0.516, 0.484)
Li (0.217, 0.217, 0.284)

Summary:
Calculated formation energy = 1.7 eV/f.u.



No. 14
Computed, not measured: an optimized crystal structure of KVHg at the PBE level of DFT.

a = 5.749 Å, b = 5.749 Å, c = 10.922 Å
α = 90.00°, β = 90.00°, γ = 120.00°
Last column: magnetic moment on the atom in μB.
Element x y z (fractional)
Hg (0.000, 0.000, 0.250)  0.10
Hg (0.000, 0.000, 0.750)  0.10
V (0.000, 0.000, 0.000)  3.11
V (0.000, 0.000, 0.500)  3.11
K (0.333, 0.667, 0.250)  0.02
K (0.667, 0.333, 0.750)  0.02

Summary:
Polymorph energy (0 for the lowest one) = 837 meV per atom
Calculated formation energy = 3.4 eV/f.u.



No. 15
Computed, not measured: an optimized crystal structure of Ba2NaP at the PBE level of DFT.

a = 9.241 Å, b = 9.241 Å, c = 7.952 Å
α = 54.47°, β = 54.47°, γ = 90.00°
Element x y z (fractional)
Ba (0.051, 0.625, 0.250)
Ba (0.699, 0.125, 0.250)
Ba (0.375, 0.301, 0.750)
Ba (0.875, 0.949, 0.750)
P (0.750, 0.250, 0.500)
P (0.000, 0.000, 0.000)
Na (0.500, 0.500, 0.000)
Na (0.250, 0.750, 0.500)

Summary:
Calculated formation energy = -1.5 eV/f.u.



No. 16
Computed, not measured: an optimized crystal structure of K6Rb3Au at the PBE level of DFT.

a = 11.425 Å, b = 11.425 Å, c = 11.425 Å
α = 77.87°, β = 77.87°, γ = 77.87°
Element x y z (fractional)
Au (0.000, 0.000, 0.000)
Au (0.500, 0.500, 0.500)
Rb (0.859, 0.519, 0.859)
Rb (0.141, 0.481, 0.141)
Rb (0.141, 0.141, 0.481)
Rb (0.859, 0.859, 0.519)
Rb (0.481, 0.141, 0.141)
Rb (0.519, 0.859, 0.859)
K (0.192, 0.192, 0.866)
K (0.469, 0.469, 0.799)
K (0.808, 0.808, 0.134)
K (0.808, 0.134, 0.808)
K (0.531, 0.531, 0.201)
K (0.531, 0.201, 0.531)
K (0.469, 0.799, 0.469)
K (0.799, 0.469, 0.469)
K (0.134, 0.808, 0.808)
K (0.201, 0.531, 0.531)
K (0.192, 0.866, 0.192)
K (0.866, 0.192, 0.192)

Summary:
Polymorph energy (0 for the lowest one) = 0 meV per atom
Calculated formation energy = -0.6 eV/f.u.



No. 17
Computed, not measured: an optimized crystal structure of Tb2Zr3Si4 at the PBE level of DFT.

a = 7.133 Å, b = 7.339 Å, c = 7.346 Å
α = 90.00°, β = 90.00°, γ = 108.08°
Element x y z (fractional)
Zr (0.749, 0.252, 0.819)
Zr (0.751, 0.748, 0.319)
Zr (0.251, 0.748, 0.181)
Zr (0.500, 0.500, 0.000)
Zr (0.000, 0.500, 0.500)
Zr (0.249, 0.252, 0.681)
Si (0.871, 0.081, 0.532)
Si (0.127, 0.508, 0.878)
Si (0.627, 0.508, 0.622)
Si (0.371, 0.081, 0.968)
Si (0.129, 0.919, 0.468)
Si (0.373, 0.492, 0.378)
Si (0.629, 0.919, 0.032)
Si (0.873, 0.492, 0.122)
Tb (0.575, 0.193, 0.328)
Tb (0.425, 0.807, 0.672)
Tb (0.075, 0.193, 0.172)
Tb (0.925, 0.807, 0.828)

Summary:
Uncorrected formation energy = -884 meV per atom



No. 18
Computed, not measured: an optimized crystal structure of Sn2PdRu at the PBE level of DFT.

a = 3.268 Å, b = 3.268 Å, c = 6.688 Å
α = 90.00°, β = 90.00°, γ = 90.00°
Element x y z (fractional)
Pd (0.500, 0.500, 0.500)
Sn (0.000, 0.000, 0.757)
Sn (0.000, 0.000, 0.243)
Ru (0.500, 0.500, 0.000)

Summary:
Polymorph energy (0 for the lowest one) = 0 meV per atom
Calculated formation energy = -0.7 eV/f.u.



No. 19
Computed, not measured: an optimized crystal structure of Mg2PaFeN4 at the PBE level of DFT.

a = 3.262 Å, b = 5.642 Å, c = 10.448 Å
α = 90.00°, β = 90.00°, γ = 106.80°
Last column: magnetic moment on the atom in μB.
Element x y z (fractional)
N (0.000, 0.000, 0.000)  0.04
N (0.570, 0.139, 0.250)  0.04
N (0.717, 0.434, 0.631)  0.01
N (0.283, 0.566, 0.131)  0.01
N (0.717, 0.434, 0.869)  0.01
N (0.283, 0.566, 0.369)  0.01
N (0.430, 0.861, 0.750)  0.04
N (0.000, 0.000, 0.500)  0.04
Fe (0.163, 0.325, 0.250)  0.76
Fe (0.837, 0.675, 0.750)  0.76
Mg (0.378, 0.755, 0.958)  0.00
Mg (0.378, 0.755, 0.542)  0.00
Mg (0.622, 0.245, 0.458)  0.00
Mg (0.622, 0.245, 0.042)  0.00
Pa (0.902, 0.804, 0.250)  0.15
Pa (0.098, 0.196, 0.750)  0.15

Summary:
Uncorrected formation energy = -702 meV per atom



No. 20
Computed, not measured: an optimized crystal structure of CsKSn2 at the PBE level of DFT.

a = 6.114 Å, b = 6.114 Å, c = 6.114 Å
α = 60.00°, β = 60.00°, γ = 60.00°
Element x y z (fractional)
Sn (0.750, 0.750, 0.750)
Sn (0.250, 0.250, 0.250)
Cs (0.500, 0.500, 0.500)
K (0.000, 0.000, 0.000)

Summary:
Polymorph energy (0 for the lowest one) = 370 meV per atom
Calculated formation energy = 0.7 eV/f.u.



no.,volume (A^3/atom)
1,18.2
2,16.6
3,17.0
4,16.0
5,32.2
6,25.4
7,33.3
8,20.5
9,15.6
10,12.7
11,25.4
12,12.8
13,13.0
14,52.1
15,48.4
16,70.2
17,20.3
18,17.9
19,11.5
20,40.4